Below is Er5Tl4Cu after structural relaxation, with properties calculated at the GGA-PBE level.

Summary:
D(E_F): 0.44 states/eV per atom
Calculated formation energy: -317 meV/atom
E above lowest polymorph: 0 meV per atom

abc: 3.564 3.564 20.140
angles: 90.00 90.00 90.00
Site moments in Bohr magnetons follow the coordinates.
Element x y z (fractional)
Tl (0.000, 0.000, 0.187)  0.00
Tl (0.000, 0.000, 0.813)  0.00
Tl (0.000, 0.000, 0.605)  0.00
Tl (0.000, 0.000, 0.395)  0.00
Er (0.500, 0.500, 0.082)  -0.01
Er (0.500, 0.500, 0.500)  -0.16
Er (0.500, 0.500, 0.918)  -0.01
Er (0.500, 0.500, 0.291)  0.15
Er (0.500, 0.500, 0.709)  0.15
Cu (0.000, 0.000, 0.000)  0.00